Here is a relaxed Ta2WSe crystal from Alexandria. Energies are from GGA-PBE.

The value obtained for the magnetic moment is 0.0 μB per cell. Its total energy is -0.3602 hartree per atom. As for the volume: 69.2 Å³ per cell.

It has space group P4/mmm (No. 123), with a = 2.946 Å, b = 2.946 Å, c = 7.972 Å, α = 90.00°, β = 90.00° and γ = 90.00°. Symmetry generates all atoms from Ta at (0.000, 0.000, 0.226), W at (0.500, 0.500, 0.500) and Se at (0.500, 0.500, 0.000).



Here is a relaxed TaW2Se crystal from Alexandria. Energies are from GGA-PBE.

The value obtained for the magnetic moment is 0.0 μB per cell. Its total energy is -0.3652 hartree per atom. As for the volume: 67.0 Å³ per cell.

It has space group Pmmm (No. 47), with a = 3.151 Å, b = 4.394 Å, c = 4.836 Å, α = 90.00°, β = 90.00° and γ = 90.00°. Symmetry generates all atoms from Ta at (0.000, 0.000, 0.000), W at (0.000, 0.500, 0.500), W at (0.500, 0.000, 0.500) and Se at (0.500, 0.500, 0.000).



Here is a relaxed Ta2WSe crystal from Alexandria. Energies are from GGA-PBE.

The value obtained for the magnetic moment is 0.0 μB per cell. Its total energy is -0.3628 hartree per atom. As for the volume: 139.5 Å³ per cell.

It has space group Imm2 (No. 44), with a = 3.255 Å, b = 4.362 Å, c = 9.822 Å, α = 90.00°, β = 90.00° and γ = 90.00°. Symmetry generates all atoms from Ta at (0.000, 0.000, 0.000), Ta at (0.000, 0.500, 0.242), W at (0.000, 0.000, 0.507) and Se at (0.000, 0.500, 0.787).



Here is a relaxed TaW2Se crystal from Alexandria. Energies are from GGA-PBE.

The value obtained for the magnetic moment is 0.0 μB per cell. Its total energy is -0.3640 hartree per atom. As for the volume: 67.9 Å³ per cell.

It has space group Pmmm (No. 47), with a = 3.065 Å, b = 4.248 Å, c = 5.214 Å, α = 90.00°, β = 90.00° and γ = 90.00°. Symmetry generates all atoms from Ta at (0.000, 0.000, 0.000), W at (0.500, 0.500, 0.245) and Se at (0.000, 0.000, 0.500).



Here is a relaxed Ta2WSe crystal from Alexandria. Energies are from GGA-PBE.

The value obtained for the magnetic moment is 0.0 μB per cell. Its total energy is -0.3586 hartree per atom. As for the volume: 69.6 Å³ per cell.

It has space group P4mm (No. 99), with a = 2.953 Å, b = 2.953 Å, c = 7.981 Å, α = 90.00°, β = 90.00° and γ = 90.00°. Symmetry generates all atoms from Ta at (0.000, 0.000, 0.000), Ta at (0.500, 0.500, 0.285), W at (0.000, 0.000, 0.558) and Se at (0.500, 0.500, 0.758).



Here is a relaxed Ta2WSe crystal from Alexandria. Energies are from GGA-PBE.

The value obtained for the magnetic moment is 0.0 μB per cell. Its total energy is -0.3670 hartree per atom. As for the volume: 70.2 Å³ per cell.

It has space group P4/mmm (No. 123), with a = 3.314 Å, b = 3.314 Å, c = 6.396 Å, α = 90.00°, β = 90.00° and γ = 90.00°. Symmetry generates all atoms from Ta at (0.000, 0.000, 0.234), W at (0.500, 0.500, 0.000) and Se at (0.500, 0.500, 0.500).



Here is a relaxed Ta2WSe crystal from Alexandria. Energies are from GGA-PBE.

The value obtained for the magnetic moment is 0.0 μB per cell. Its total energy is -0.3604 hartree per atom. As for the volume: 217.6 Å³ per cell.

It has space group R3m (No. 160, hexagonal axes), with a = 3.2138 Å, b = 3.2138 Å, c = 24.3272 Å, α = 90.00°, β = 90.00° and γ = 120.00°. Symmetry generates all atoms from Ta at (0.0000, 0.0000, 0.0000), Ta at (0.0000, 0.0000, 0.2421), W at (0.0000, 0.0000, 0.7462) and Se at (0.0000, 0.0000, 0.4978).



Here is a relaxed TaW3Se crystal from Alexandria. Energies are from GGA-PBE.

The value obtained for the magnetic moment is 0.0 μB per cell. The energy relative to the lowest polymorph listed for this composition is 0 meV per atom. As for the volume: 95.1 Å³ per cell.

It has space group Pm-3m (No. 221), with a = 4.565 Å, b = 4.565 Å, c = 4.565 Å, α = 90.00°, β = 90.00° and γ = 90.00°. Symmetry generates all atoms from Ta at (0.000, 0.000, 0.000), W at (0.000, 0.500, 0.500) and Se at (0.500, 0.500, 0.500).



Here is a relaxed TaW2Se crystal from Alexandria. Energies are from GGA-PBE.

The value obtained for the magnetic moment is 0.0 μB per cell. Its total energy is -0.3637 hartree per atom. As for the volume: 137.6 Å³ per cell.

It has space group Cmmm (No. 65), with a = 3.232 Å, b = 4.810 Å, c = 8.851 Å, α = 90.00°, β = 90.00° and γ = 90.00°. Symmetry generates all atoms from Ta at (0.000, 0.000, 0.000), W at (0.000, 0.500, 0.248) and Se at (0.000, 0.000, 0.500).



Here is a relaxed TaW2Se6 crystal from Alexandria. Energies are from GGA-PBE.

The value obtained for the magnetic moment is 0.0 μB per cell. Its total energy is -0.2596 hartree per atom. As for the volume: 436.4 Å³ per cell.

It has space group C2/m (No. 12), with a = 14.492 Å, b = 3.387 Å, c = 10.614 Å, α = 90.00°, β = 123.10° and γ = 90.00°. Symmetry generates all atoms from Ta at (0.000, 0.000, 0.000), W at (0.191, 0.500, 0.373), Se at (0.023, 0.000, 0.260), Se at (0.160, 0.500, 0.095) and Se at (0.164, 0.500, 0.588).



Here is a relaxed Ta2WSe crystal from Alexandria. Energies are from GGA-PBE.

The value obtained for the magnetic moment is 0.0 μB per cell. Its total energy is -0.3639 hartree per atom. As for the volume: 70.4 Å³ per cell.

It has space group Pm (No. 6), with a = 3.052 Å, b = 4.643 Å, c = 5.127 Å, α = 90.00°, β = 104.35° and γ = 90.00°. Symmetry generates all atoms from Ta at (0.000, 0.000, 0.000), Ta at (0.212, 0.500, 0.720), W at (0.692, 0.500, 0.208) and Se at (0.713, 0.000, 0.462).



Here is a relaxed Ta2WSe crystal from Alexandria. Energies are from GGA-PBE.

The value obtained for the magnetic moment is 0.0 μB per cell. Its total energy is -0.3622 hartree per atom. As for the volume: 70.4 Å³ per cell.

It has space group P4mm (No. 99), with a = 3.351 Å, b = 3.351 Å, c = 6.270 Å, α = 90.00°, β = 90.00° and γ = 90.00°. Symmetry generates all atoms from Ta at (0.000, 0.000, 0.000), Ta at (0.500, 0.500, 0.282), W at (0.000, 0.000, 0.496) and Se at (0.500, 0.500, 0.794).



Here is a relaxed TaW2Se crystal from Alexandria. Energies are from GGA-PBE.

The value obtained for the magnetic moment is 0.0 μB per cell. Its total energy is -0.3679 hartree per atom. As for the volume: 132.8 Å³ per cell.

It has space group C2/m (No. 12), with a = 10.467 Å, b = 3.181 Å, c = 4.384 Å, α = 90.00°, β = 114.53° and γ = 90.00°. Symmetry generates all atoms from Ta at (0.000, 0.000, 0.000), W at (0.247, 0.000, 0.747) and Se at (0.000, 0.500, 0.500).



Here is a relaxed Ta2WSe crystal from Alexandria. Energies are from GGA-PBE.

The value obtained for the magnetic moment is 0.0 μB per cell. Its total energy is -0.3619 hartree per atom. As for the volume: 139.6 Å³ per cell.

It has space group Immm (No. 71), with a = 3.390 Å, b = 4.965 Å, c = 8.294 Å, α = 90.00°, β = 90.00° and γ = 90.00°. Symmetry generates all atoms from Ta at (0.000, 0.000, 0.241), W at (0.000, 0.500, 0.000) and Se at (0.000, 0.500, 0.500).



Here is a relaxed Ta2WSe crystal from Alexandria. Energies are from GGA-PBE.

The value obtained for the magnetic moment is 0.0 μB per cell. Its total energy is -0.3601 hartree per atom. As for the volume: 69.7 Å³ per cell.

It has space group Pmmm (No. 47), with a = 3.100 Å, b = 4.169 Å, c = 5.393 Å, α = 90.00°, β = 90.00° and γ = 90.00°. Symmetry generates all atoms from Ta at (0.000, 0.000, 0.242), W at (0.500, 0.500, 0.000) and Se at (0.500, 0.500, 0.500).



Here is a relaxed Ta2WSe crystal from Alexandria. Energies are from GGA-PBE.

The value obtained for the magnetic moment is 0.0 μB per cell. Its total energy is -0.3632 hartree per atom. As for the volume: 138.1 Å³ per cell.

It has space group Cmmm (No. 65), with a = 5.865 Å, b = 7.332 Å, c = 3.212 Å, α = 90.00°, β = 90.00° and γ = 90.00°. Symmetry generates all atoms from Ta at (0.250, 0.250, 0.000), W at (0.000, 0.000, 0.500) and Se at (0.000, 0.500, 0.500).



Here is a relaxed TaW2Se crystal from Alexandria. Energies are from GGA-PBE.

The value obtained for the magnetic moment is 0.0 μB per cell. Its total energy is -0.3665 hartree per atom. As for the volume: 138.7 Å³ per cell.

It has space group Cm (No. 8), with a = 9.213 Å, b = 3.172 Å, c = 5.115 Å, α = 90.00°, β = 111.93° and γ = 90.00°. Symmetry generates all atoms from Ta at (0.000, 0.000, 0.000), W at (0.038, 0.500, 0.514), W at (0.302, 0.500, 0.340) and Se at (0.258, 0.000, 0.895).



Here is a relaxed Ta2WSe crystal from Alexandria. Energies are from GGA-PBE.

The value obtained for the magnetic moment is 0.0 μB per cell. Its total energy is -0.3653 hartree per atom. As for the volume: 216.9 Å³ per cell.

It has space group R-3m (No. 166, hexagonal axes), with a = 3.2315 Å, b = 3.2315 Å, c = 23.9847 Å, α = 90.00°, β = 90.00° and γ = 120.00°. Symmetry generates all atoms from Ta at (0.0000, 0.0000, 0.2502), W at (0.0000, 0.0000, 0.0000) and Se at (0.0000, 0.0000, 0.5000).



Here is a relaxed TaWSe crystal from Alexandria. Energies are from GGA-PBE.

The value obtained for the magnetic moment is 0.0 μB per cell. The energy relative to the lowest polymorph listed for this composition is 181 meV per atom. As for the volume: 100.4 Å³ per cell.

It has space group I4mm (No. 107), with a = 3.038 Å, b = 3.038 Å, c = 10.878 Å, α = 90.00°, β = 90.00° and γ = 90.00°. Symmetry generates all atoms from Ta at (0.000, 0.000, 0.000), W at (0.000, 0.000, 0.310) and Se at (0.000, 0.000, 0.671).



Here is a relaxed Ta2WSe crystal from Alexandria. Energies are from GGA-PBE.

The value obtained for the magnetic moment is 0.0 μB per cell. Its total energy is -0.3597 hartree per atom. As for the volume: 70.2 Å³ per cell.

It has space group Pmm2 (No. 25), with a = 3.093 Å, b = 4.284 Å, c = 5.295 Å, α = 90.00°, β = 90.00° and γ = 90.00°. Symmetry generates all atoms from Ta at (0.000, 0.000, 0.000), Ta at (0.500, 0.500, 0.272), W at (0.000, 0.000, 0.490) and Se at (0.500, 0.500, 0.772).